An optimized crystal structure of PmPaAsS. Source: Alexandria via LeMat-Bulk, functional PBE.

Cell lengths 7.0326, 7.0326, 7.0326 Å; angles 90.00, 90.00, 90.00 degrees
Closest atoms and distances in Å follow each position.
Space group F-43m (No. 216)
Asymmetric unit:
Pm 0.0000 0.0000 0.0000 x4  4 As 3.05, 4 S 3.05
Pa 0.0000 0.0000 0.5000 x4  4 S 3.05, 4 As 3.05
As 0.2500 0.2500 0.7500 x4  4 Pa 3.05, 4 Pm 3.05
S 0.2500 0.2500 0.2500 x4  4 Pm 3.05, 4 Pa 3.05

The calculation puts the formation energy from raw total energies at -27.0 kcal/mol of atoms. As for the total moment: 1.4 μB/f.u. The calculation puts the electronic total energy at -6.9261 eV per atom. The calculated volume is 87 Å³/f.u.